KZnMo2 | PBE | optimized geometry

Properties
- calculated formation energy (eV/atom) = 1.200
- total DFT energy (no corrections) (eV/atom) = -4.8084

The structure in CIF format:
```
data_KZnMo2
_cell_length_a 5.519
_cell_length_b 10.595
_cell_length_c 2.602
_cell_angle_alpha 90.00
_cell_angle_beta 90.00
_cell_angle_gamma 90.00
_symmetry_space_group_name_H-M 'C m m m'
_symmetry_Int_Tables_number 65
_symmetry_space_group_name_Hall '-C 2 2'
loop_
_atom_site_label
_atom_site_type_symbol
_atom_site_fract_x
_atom_site_fract_y
_atom_site_fract_z
K1 K 0.000 0.000 0.000
Zn1 Zn 0.000 0.500 0.000
Mo1 Mo 0.250 0.250 0.500
```


KZnMo2 | PBE | optimized geometry

Properties
- calculated formation energy (eV/atom) = 1.388
- total DFT energy (no corrections) (eV/atom) = -4.6201

The structure in CIF format:
```
data_KZnMo2
_cell_length_a 3.878
_cell_length_b 3.878
_cell_length_c 10.390
_cell_angle_alpha 90.00
_cell_angle_beta 90.00
_cell_angle_gamma 90.00
_symmetry_space_group_name_H-M 'I 4/m m m'
_symmetry_Int_Tables_number 139
_symmetry_space_group_name_Hall '-I 4 2'
loop_
_atom_site_label
_atom_site_type_symbol
_atom_site_fract_x
_atom_site_fract_y
_atom_site_fract_z
K1 K 0.000 0.000 0.000
Zn1 Zn 0.000 0.000 0.500
Mo1 Mo 0.000 0.500 0.250
```


K2ZnMo | PBE | optimized geometry

Properties
- calculated formation energy (eV/atom) = 1.170
- total DFT energy (no corrections) (eV/atom) = -2.4050

The structure in CIF format:
```
data_K2ZnMo
_cell_length_a 5.589
_cell_length_b 5.589
_cell_length_c 7.890
_cell_angle_alpha 90.00
_cell_angle_beta 90.00
_cell_angle_gamma 90.00
_symmetry_space_group_name_H-M 'I -4 m 2'
_symmetry_Int_Tables_number 119
_symmetry_space_group_name_Hall 'I -4 -2'
loop_
_atom_site_label
_atom_site_type_symbol
_atom_site_fract_x
_atom_site_fract_y
_atom_site_fract_z
K1 K 0.000 0.000 0.000
K2 K 0.000 0.500 0.250
Zn1 Zn 0.000 0.500 0.750
Mo1 Mo 0.000 0.000 0.500
```